1.
The following is a GGA-PBE calculation of an optimized crystal structure of PrBiAu2, from the Alexandria database.

Energy above the most stable polymorph in this dataset, meV per atom: 81
Calculated formation energy, eV/atom: -0.5288
Uncorrected energy, eV/f.u.: -17.33
Size of the total moment, μB/f.u.: 0.00
Space-group type: P4/mmm

abc: 4.4953 4.6859 4.6859
angles: 90.00 90.00 90.00
Last column: nearest neighbours and their distance in Å.
Atoms (fractional coordinates):
Pr 0.5000 0.5000 0.5000  8 Au 3.25, 4 Bi 3.31
Au 0.0000 0.0000 0.5000  4 Pr 3.25, 4 Bi 3.25, 4 Au 3.31
Bi 0.5000 0.0000 0.0000  8 Au 3.25, 4 Pr 3.31
Au 0.0000 0.5000 0.0000  4 Pr 3.25, 4 Bi 3.25, 4 Au 3.31

2.
The following is a GGA-PBE calculation of an optimized crystal structure of PrBiAu, from the Alexandria database.

Calculated formation energy, eV/atom: -0.5171
Uncorrected energy, eV/f.u.: -13.49
Size of the total moment, μB/f.u.: 0.00
Space-group type: I4mm

abc: 4.2761 4.2761 5.5696
angles: 112.57 112.57 90.00
Last column: nearest neighbours and their distance in Å.
Atoms (fractional coordinates):
Pr 0.6205 0.6205 0.2409  5 Au 3.13-3.40, 5 Bi 3.23-3.35
Au 0.9546 0.9546 0.9092  1 Bi 3.00, 1 Pr 3.13
Bi 0.2749 0.2749 0.5498  1 Au 3.00, 5 Pr 3.23-3.35

3.
The following is a GGA-PBE calculation of an optimized crystal structure of Pr2Bi6Au, from the Alexandria database.

Calculated formation energy, eV/atom: -0.3474
Uncorrected energy, eV/f.u.: -39.25
Size of the total moment, μB/f.u.: 0.00
Space-group type: Amm2

abc: 4.2592 7.7872 9.4070
angles: 114.45 90.00 90.00
Last column: nearest neighbours and their distance in Å.
Atoms (fractional coordinates):
Bi 0.0000 0.2295 0.0000  2 Au 3.07, 4 Bi 3.27-3.37, 2 Pr 3.31
Pr 0.0000 0.6401 0.3094  9 Bi 3.30-3.59
Au 0.5000 0.9462 0.0000  7 Bi 2.97-3.17
Bi 0.5000 0.9690 0.5226  4 Pr 3.30-3.36, 4 Bi 3.47-3.50
Bi 0.5000 0.4464 0.4774  4 Pr 3.30-3.36, 4 Bi 3.47-3.50
Bi 0.0000 0.7997 0.7264  2 Au 3.17, 5 Bi 3.27-3.50, 1 Pr 3.53
Pr 0.0000 0.3307 0.6906  9 Bi 3.30-3.59
Bi 0.0000 0.0733 0.2736  2 Au 3.17, 5 Bi 3.27-3.50, 1 Pr 3.53
Bi 0.5000 0.5652 0.0000  1 Au 2.97

4.
The following is a GGA-PBE calculation of an optimized crystal structure of PrBiAu2, from the Alexandria database.

Energy above the most stable polymorph in this dataset, meV per atom: 0
Calculated formation energy, eV/atom: -0.6094
Uncorrected energy, eV/f.u.: -17.65
Size of the total moment, μB/f.u.: 0.00
Space-group type: Fm-3m

abc: 5.2020 5.2020 5.2020
angles: 60.00 60.00 60.00
Last column: nearest neighbours and their distance in Å.
Atoms (fractional coordinates):
Au 0.2500 0.2500 0.2500  4 Pr 3.19, 4 Bi 3.19
Bi 0.5000 0.5000 0.5000  8 Au 3.19
Au 0.7500 0.7500 0.7500  4 Pr 3.19, 4 Bi 3.19
Pr 0.0000 0.0000 0.0000  8 Au 3.19

5.
The following is a GGA-PBE calculation of an optimized crystal structure of PrBiAu4, from the Alexandria database.

Energy above the most stable polymorph in this dataset, meV per atom: 8
Calculated formation energy, eV/atom: -0.4358
Uncorrected energy, eV/f.u.: -24.38
Size of the total moment, μB/f.u.: 0.00
Space-group type: P6/mmm

abc: 4.9102 4.9102 6.5790
angles: 90.00 90.00 120.00
Last column: nearest neighbours and their distance in Å.
Atoms (fractional coordinates):
Au 0.6667 0.3333 0.7550  3 Au 2.83
Au 0.6667 0.3333 0.2450  3 Au 2.83
Au 0.3333 0.6667 0.7550  3 Au 2.83
Au 0.3333 0.6667 0.2450  3 Au 2.83
Pr 0.0000 0.0000 0.0000  12 Au 3.26, 2 Bi 3.29
Bi 0.0000 0.0000 0.5000  2 Pr 3.29, 12 Au 3.29

6.
The following is a GGA-PBE calculation of an optimized crystal structure of Pr2BiAu, from the Alexandria database.

Calculated formation energy, eV/atom: -0.7294
Uncorrected energy, eV/f.u.: -19.63
Size of the total moment, μB/f.u.: 0.00
Space-group type: C2/m

abc: 4.4809 4.4953 7.9032
angles: 106.37 90.00 119.89
Last column: nearest neighbours and their distance in Å.
Atoms (fractional coordinates):
Au 0.5000 0.0000 0.0000  6 Pr 3.12-3.13
Bi 0.0000 0.0000 0.5000  6 Pr 3.27
Pr 0.2450 0.4901 0.2339  3 Au 3.12-3.13, 3 Bi 3.27
Pr 0.7550 0.5099 0.7661  3 Au 3.12-3.13, 3 Bi 3.27

What is the formula in the sixth record?
Pr2BiAu